No. 1
A relaxed structure of TaPBr2. Source: Alexandria via LeMat-Bulk, functional PBE.

Offset from the most stable computed form = 1043 meV per atom
Formation energy from raw total energies = 2.489 eV per formula unit
Crystal system = tetragonal
Size of the total moment = 0.00 μB per formula unit

a = 4.770 Å, b = 4.770 Å, c = 4.770 Å
α = 120.24°, β = 120.24°, γ = 89.59°
Fractional positions:
Ta1 0.000 0.000 0.000
P1 0.750 0.250 0.500
Br1 0.250 0.750 0.500
Br2 0.500 0.500 0.000

***

No. 2
A relaxed structure of Li2Be2Cd. Source: Alexandria via LeMat-Bulk, functional PBE.

Offset from the most stable computed form = 43 meV per atom
Formation energy from the elements = 0.201 eV per atom
Crystal system = tetragonal
Size of the total moment = 0.00 μB per formula unit

a = 6.655 Å, b = 6.655 Å, c = 3.005 Å
α = 90.00°, β = 90.00°, γ = 90.00°
Fractional positions:
Li1 0.170 0.330 0.000
Li2 0.330 0.830 0.000
Li3 0.670 0.170 0.000
Li4 0.830 0.670 0.000
Be1 0.118 0.618 0.500
Be2 0.382 0.118 0.500
Be3 0.618 0.882 0.500
Be4 0.882 0.382 0.500
Cd1 0.000 0.000 0.500
Cd2 0.500 0.500 0.500

***

No. 3
A relaxed structure of TiBS2N. Source: Alexandria via LeMat-Bulk, functional PBE.

Offset from the most stable computed form = 0 meV per atom
Formation energy from raw total energies = 0.241 eV per formula unit
Crystal system = tetragonal
Size of the total moment = 0.35 μB per formula unit

a = 5.093 Å, b = 5.093 Å, c = 2.643 Å
α = 90.00°, β = 90.00°, γ = 90.00°
Fractional positions:
Ti1 0.000 0.000 0.000
B1 0.500 0.500 0.500
S1 0.000 0.500 0.500
S2 0.500 0.000 0.500
N1 0.500 0.500 0.000

***

No. 4
A relaxed structure of Ac2AgTe2O2. Source: Alexandria via LeMat-Bulk, functional PBE.

Formation energy from raw total energies = -13.180 eV per formula unit
Crystal system = trigonal
Size of the total moment = 0.00 μB per formula unit

a = 4.237 Å, b = 4.237 Å, c = 13.272 Å
α = 90.00°, β = 90.00°, γ = 120.00°
Fractional positions:
Ac1 0.333 0.667 0.120
Ac2 0.667 0.333 0.880
Ag1 0.000 0.000 0.500
Te1 0.000 0.000 0.302
Te2 0.000 0.000 0.698
O1 0.333 0.667 0.929
O2 0.667 0.333 0.071

***

No. 5
A relaxed structure of VSiMo. Source: Alexandria via LeMat-Bulk, functional PBE.

Formation energy from raw total energies = -0.628 eV per formula unit
Crystal system = monoclinic
Size of the total moment = 0.00 μB per formula unit

a = 4.187 Å, b = 3.348 Å, c = 6.336 Å
α = 90.00°, β = 108.43°, γ = 90.00°
Fractional positions:
V1 0.173 0.000 0.362
V2 0.827 0.000 0.638
Si1 0.345 0.500 0.676
Si2 0.655 0.500 0.324
Mo1 0.000 0.500 0.000
Mo2 0.500 0.000 0.000

***

No. 6
A relaxed structure of K2MgIn3Hg12. Source: Alexandria via LeMat-Bulk, functional PBE.

Formation energy from the elements = -0.046 eV per atom
Crystal system = trigonal
Size of the total moment = 0.00 μB per formula unit

a = 8.105 Å, b = 8.105 Å, c = 8.105 Å
α = 85.06°, β = 85.06°, γ = 85.06°
Fractional positions:
K1 0.194 0.194 0.194
K2 0.806 0.806 0.806
Mg1 0.500 0.500 0.500
In1 0.000 0.500 0.500
In2 0.500 0.000 0.500
In3 0.500 0.500 0.000
Hg1 0.092 0.092 0.617
Hg2 0.092 0.617 0.092
Hg3 0.226 0.694 0.694
Hg4 0.306 0.306 0.774
Hg5 0.306 0.774 0.306
Hg6 0.383 0.908 0.908
Hg7 0.617 0.092 0.092
Hg8 0.694 0.226 0.694
Hg9 0.694 0.694 0.226
Hg10 0.774 0.306 0.306
Hg11 0.908 0.383 0.908
Hg12 0.908 0.908 0.383

***

No. 7
A relaxed structure of CrHgSe2. Source: Alexandria via LeMat-Bulk, functional PBE.

Formation energy from raw total energies = -0.528 eV per formula unit
Crystal system = monoclinic
Size of the total moment = 3.41 μB per formula unit

a = 4.942 Å, b = 3.643 Å, c = 5.702 Å
α = 90.00°, β = 107.41°, γ = 90.00°
Fractional positions:
Cr1 0.000 0.000 0.000
Hg1 0.000 0.000 0.500
Se1 0.360 0.500 0.153
Se2 0.640 0.500 0.847

***

No. 8
A relaxed structure of NaTb3Cd4. Source: Alexandria via LeMat-Bulk, functional PBE.

Formation energy from the elements = -0.249 eV per atom
Crystal system = tetragonal
Size of the total moment = 0.00 μB per formula unit

a = 3.724 Å, b = 3.724 Å, c = 15.307 Å
α = 90.00°, β = 90.00°, γ = 90.00°
Fractional positions:
Na1 0.000 0.000 0.000
Tb1 0.000 0.000 0.252
Tb2 0.000 0.000 0.500
Tb3 0.000 0.000 0.748
Cd1 0.500 0.500 0.130
Cd2 0.500 0.500 0.377
Cd3 0.500 0.500 0.623
Cd4 0.500 0.500 0.870

***

No. 9
A relaxed structure of Dy3AlTl. Source: Alexandria via LeMat-Bulk, functional PBE.

Offset from the most stable computed form = 163 meV per atom
Formation energy from the elements = -0.104 eV per atom
Crystal system = hexagonal
Size of the total moment = 0.00 μB per formula unit

a = 8.062 Å, b = 8.062 Å, c = 5.164 Å
α = 90.00°, β = 90.00°, γ = 120.00°
Fractional positions:
Dy1 0.191 0.382 0.250
Dy2 0.191 0.809 0.250
Dy3 0.382 0.191 0.750
Dy4 0.618 0.809 0.250
Dy5 0.809 0.191 0.750
Dy6 0.809 0.618 0.750
Al1 0.000 0.000 0.000
Al2 0.000 0.000 0.500
Tl1 0.333 0.667 0.750
Tl2 0.667 0.333 0.250

***

No. 10
A relaxed structure of Cs3H5N2. Source: Alexandria via LeMat-Bulk, functional PBE.

Raw total energy = -70.37 eV per cell
Crystal system = orthorhombic
Size of the total moment = 0.00 μB per formula unit

a = 9.600 Å, b = 9.600 Å, c = 9.600 Å
α = 131.77°, β = 61.90°, γ = 143.59°
Fractional positions:
Cs1 0.148 0.650 0.798
Cs2 0.250 0.250 0.000
Cs3 0.352 0.150 0.502
Cs4 0.648 0.850 0.498
Cs5 0.750 0.750 0.000
Cs6 0.852 0.350 0.202
H1 0.075 0.250 0.825
H2 0.167 0.154 0.321
H3 0.250 0.750 0.500
H4 0.333 0.654 0.987
H5 0.425 0.250 0.175
H6 0.575 0.750 0.825
H7 0.667 0.346 0.013
H8 0.750 0.250 0.500
H9 0.833 0.846 0.679
H10 0.925 0.750 0.175
N1 0.169 0.022 0.190
N2 0.331 0.522 0.853
N3 0.669 0.478 0.147
N4 0.831 0.978 0.810

***

No. 11
A relaxed structure of Ta2AgW. Source: Alexandria via LeMat-Bulk, functional PBE.

Offset from the most stable computed form = 230 meV per atom
Formation energy from the elements = 0.335 eV per atom
Crystal system = orthorhombic
Size of the total moment = 0.00 μB per formula unit

a = 2.754 Å, b = 4.258 Å, c = 6.017 Å
α = 90.00°, β = 90.00°, γ = 90.00°
Fractional positions:
Ta1 0.000 0.000 0.243
Ta2 0.000 0.000 0.757
Ag1 0.500 0.500 0.500
W1 0.500 0.500 0.000

***

No. 12
A relaxed structure of Th2MoN4. Source: Alexandria via LeMat-Bulk, functional PBE.

Offset from the most stable computed form = 0 meV per atom
Formation energy from raw total energies = -8.664 eV per formula unit
Crystal system = orthorhombic
Size of the total moment = 0.00 μB per formula unit

a = 6.880 Å, b = 6.880 Å, c = 5.711 Å
α = 90.00°, β = 90.00°, γ = 132.48°
Fractional positions:
Th1 0.143 0.857 0.983
Th2 0.357 0.643 0.483
Th3 0.643 0.357 0.517
Th4 0.857 0.143 0.017
Mo1 0.000 0.000 0.500
Mo2 0.500 0.500 0.000
N1 0.178 0.822 0.557
N2 0.237 0.263 0.750
N3 0.263 0.237 0.250
N4 0.322 0.678 0.057
N5 0.678 0.322 0.943
N6 0.737 0.763 0.750
N7 0.763 0.737 0.250
N8 0.822 0.178 0.443

***

No. 13
A relaxed structure of Tl2GaSn2. Source: Alexandria via LeMat-Bulk, functional PBE.

Offset from the most stable computed form = 44 meV per atom
Formation energy from the elements = 0.077 eV per atom
Crystal system = tetragonal
Size of the total moment = 0.00 μB per formula unit

a = 7.383 Å, b = 7.383 Å, c = 5.401 Å
α = 90.00°, β = 90.00°, γ = 90.00°
Fractional positions:
Tl1 0.171 0.329 0.000
Tl2 0.329 0.829 0.000
Tl3 0.671 0.171 0.000
Tl4 0.829 0.671 0.000
Ga1 0.000 0.000 0.500
Ga2 0.500 0.500 0.500
Sn1 0.143 0.643 0.500
Sn2 0.357 0.143 0.500
Sn3 0.643 0.857 0.500
Sn4 0.857 0.357 0.500

***

No. 14
A relaxed structure of Er4GaRh4. Source: Alexandria via LeMat-Bulk, functional PBE.

Formation energy from the elements = -0.765 eV per atom
Crystal system = monoclinic
Size of the total moment = 0.00 μB per formula unit

a = 7.825 Å, b = 5.444 Å, c = 10.732 Å
α = 90.00°, β = 124.13°, γ = 90.00°
Fractional positions:
Er1 0.190 0.120 0.194
Er2 0.190 0.880 0.694
Er3 0.258 0.376 0.920
Er4 0.258 0.624 0.420
Er5 0.742 0.376 0.580
Er6 0.742 0.624 0.080
Er7 0.810 0.120 0.306
Er8 0.810 0.880 0.806
Ga1 0.500 0.368 0.750
Ga2 0.500 0.632 0.250
Rh1 0.130 0.364 0.613
Rh2 0.130 0.636 0.113
Rh3 0.347 0.115 0.507
Rh4 0.347 0.885 0.007
Rh5 0.653 0.115 0.993
Rh6 0.653 0.885 0.493
Rh7 0.870 0.364 0.887
Rh8 0.870 0.636 0.387

***

No. 15
A relaxed structure of Cu2TcMo. Source: Alexandria via LeMat-Bulk, functional PBE.

Offset from the most stable computed form = 200 meV per atom
Formation energy from the elements = 0.365 eV per atom
Crystal system = tetragonal
Size of the total moment = 0.00 μB per formula unit

a = 3.261 Å, b = 3.261 Å, c = 5.146 Å
α = 90.00°, β = 90.00°, γ = 90.00°
Fractional positions:
Cu1 0.000 0.000 0.247
Cu2 0.000 0.000 0.753
Tc1 0.500 0.500 0.000
Mo1 0.500 0.500 0.500

***

No. 16
A relaxed structure of TaTeRh2F. Source: Alexandria via LeMat-Bulk, functional PBE.

Formation energy from raw total energies = 2.170 eV per formula unit
Crystal system = tetragonal
Size of the total moment = 0.00 μB per formula unit

a = 4.173 Å, b = 4.173 Å, c = 4.859 Å
α = 90.00°, β = 90.00°, γ = 90.00°
Fractional positions:
Ta1 0.000 0.000 0.000
Te1 0.500 0.500 0.000
Rh1 0.000 0.500 0.500
Rh2 0.500 0.000 0.500
F1 0.500 0.500 0.500

***

No. 17
A relaxed structure of LiTm12Ni6. Source: Alexandria via LeMat-Bulk, functional PBE.

Offset from the most stable computed form = 0 meV per atom
Formation energy from the elements = -0.296 eV per atom
Crystal system = cubic
Size of the total moment = 0.00 μB per formula unit

a = 8.311 Å, b = 8.311 Å, c = 8.311 Å
α = 109.47°, β = 109.47°, γ = 109.47°
Fractional positions:
Li1 0.000 0.000 0.000
Tm1 0.118 0.306 0.813
Tm2 0.187 0.493 0.306
Tm3 0.187 0.882 0.694
Tm4 0.306 0.187 0.493
Tm5 0.306 0.813 0.118
Tm6 0.493 0.306 0.187
Tm7 0.507 0.694 0.813
Tm8 0.694 0.187 0.882
Tm9 0.694 0.813 0.507
Tm10 0.813 0.118 0.306
Tm11 0.813 0.507 0.694
Tm12 0.882 0.694 0.187
Ni1 0.125 0.500 0.625
Ni2 0.375 0.875 0.500
Ni3 0.500 0.375 0.875
Ni4 0.500 0.625 0.125
Ni5 0.625 0.125 0.500
Ni6 0.875 0.500 0.375

***

No. 18
A relaxed structure of HoThTe2S. Source: Alexandria via LeMat-Bulk, functional PBE.

Formation energy from raw total energies = -7.433 eV per formula unit
Crystal system = tetragonal
Size of the total moment = 0.00 μB per formula unit

a = 4.365 Å, b = 4.365 Å, c = 14.886 Å
α = 90.00°, β = 90.00°, γ = 90.00°
Fractional positions:
Ho1 0.250 0.250 0.085
Ho2 0.750 0.750 0.915
Th1 0.250 0.250 0.619
Th2 0.750 0.750 0.381
Te1 0.250 0.250 0.295
Te2 0.250 0.250 0.878
Te3 0.750 0.750 0.122
Te4 0.750 0.750 0.705
S1 0.250 0.750 0.500
S2 0.750 0.250 0.500

***

No. 19
A relaxed structure of PaVGaRu. Source: Alexandria via LeMat-Bulk, functional PBE.

Formation energy from the elements = -0.268 eV per atom
Crystal system = cubic
Size of the total moment = 2.57 μB per formula unit

a = 4.614 Å, b = 4.614 Å, c = 4.614 Å
α = 60.00°, β = 60.00°, γ = 60.00°
Fractional positions:
Pa1 0.000 0.000 0.000
V1 0.250 0.250 0.250
Ga1 0.500 0.500 0.500
Ru1 0.750 0.750 0.750

***

No. 20
A relaxed structure of Be3Zn. Source: Alexandria via LeMat-Bulk, functional PBE.

Formation energy from the elements = 0.138 eV per atom
Crystal system = orthorhombic
Size of the total moment = 0.00 μB per formula unit

a = 4.480 Å, b = 4.480 Å, c = 4.480 Å
α = 148.07°, β = 65.65°, γ = 124.30°
Fractional positions:
Be1 0.000 0.000 0.000
Be2 0.406 0.661 0.745
Be3 0.916 0.661 0.255
Zn1 0.503 0.003 0.500

***

No. 21
A relaxed structure of Sr8Bi5P. Source: Alexandria via LeMat-Bulk, functional PBE.

Formation energy from the elements = -0.891 eV per atom
Crystal system = tetragonal
Size of the total moment = 0.00 μB per formula unit

a = 8.730 Å, b = 8.730 Å, c = 8.730 Å
α = 109.86°, β = 109.86°, γ = 108.69°
Fractional positions:
Sr1 0.103 0.235 0.734
Sr2 0.118 0.717 0.746
Sr3 0.283 0.029 0.401
Sr4 0.501 0.369 0.266
Sr5 0.628 0.882 0.599
Sr6 0.631 0.897 0.131
Sr7 0.765 0.499 0.869
Sr8 0.971 0.372 0.254
Bi1 0.000 0.000 0.000
Bi2 0.248 0.622 0.129
Bi3 0.378 0.507 0.626
Bi4 0.493 0.119 0.871
Bi5 0.881 0.752 0.374
P1 0.750 0.250 0.500

***

No. 22
A relaxed structure of SnSbTe2N. Source: Alexandria via LeMat-Bulk, functional PBE.

Offset from the most stable computed form = 1350 meV per atom
Formation energy from raw total energies = 9.537 eV per formula unit
Crystal system = tetragonal
Size of the total moment = 0.00 μB per formula unit

a = 5.630 Å, b = 5.630 Å, c = 5.717 Å
α = 90.00°, β = 90.00°, γ = 90.00°
Fractional positions:
Sn1 0.000 0.000 0.000
Sb1 0.000 0.000 0.500
Te1 0.000 0.500 0.000
Te2 0.500 0.000 0.000
N1 0.500 0.500 0.500

***

No. 23
A relaxed structure of CeTmMg2Au4. Source: Alexandria via LeMat-Bulk, functional PBE.

Formation energy from the elements = -0.721 eV per atom
Crystal system = trigonal
Size of the total moment = 0.65 μB per formula unit

a = 8.595 Å, b = 8.595 Å, c = 8.595 Å
α = 33.30°, β = 33.30°, γ = 33.30°
Fractional positions:
Ce1 0.000 0.000 0.000
Tm1 0.500 0.500 0.500
Mg1 0.248 0.248 0.248
Mg2 0.752 0.752 0.752
Au1 0.128 0.128 0.128
Au2 0.380 0.380 0.380
Au3 0.620 0.620 0.620
Au4 0.872 0.872 0.872